Entry one
3
Lattice="0.0000 3.4549 3.4549 3.4549 0.0000 3.4549 3.4549 3.4549 0.0000" Properties=species:S:1:pos:R:3 comment="HoNbPb | OQMD via LeMat-Bulk | PBE-GGA | optimized geometry" rho_g_cm3=9.36 m_tot_mub_per_cell=1.25 vol_a3_per_fu=82.5 sg="F-43m (216)" pbc="T T T"
Ho 1.7274 1.7274 1.7274
Nb 5.1823 5.1823 5.1823
Pb 0.0000 0.0000 0.0000

Entry two
3
Lattice="3.0744 1.8387 3.5292 -1.9043 1.9427 4.2294 0.5627 -2.4374 4.3624" Properties=species:S:1:pos:R:3 comment="HoNbPb | OQMD via LeMat-Bulk | PBE-GGA | optimized geometry" rho_g_cm3=8.59 m_tot_mub_per_cell=3.68 vol_a3_per_fu=89.9 sg="F-43m (216)" pbc="T T T"
Ho 0.0000 0.0000 0.0000
Nb 0.4332 0.3360 3.0303
Pb 1.2996 1.0080 9.0908

Stability comparison, relative energies in meV/atom: entry one 0; entry two 417

Entry one
3
Lattice="-3.7243 -2.3583 1.3698 -3.6960 -0.2790 -2.7514 -1.0701 -4.0060 -2.0285" Properties=species:S:1:pos:R:3 comment="HoNbPt | OQMD via LeMat-Bulk | PBE-GGA | optimized geometry" rho_g_cm3=10.81 m_tot_mub_per_cell=2.31 vol_a3_per_fu=69.6 sg="F-43m (216)" pbc="T T T"
Ho 0.0000 0.0000 0.0000
Nb -6.3678 -4.9825 -2.5576
Pt -2.1226 -1.6608 -0.8525

Entry two
3
Lattice="4.4394 -0.7983 0.9613 1.1464 -3.2272 3.0888 1.9920 -3.9198 -1.3918" Properties=species:S:1:pos:R:3 comment="HoNbPt | OQMD via LeMat-Bulk | PBE-GGA | optimized geometry" rho_g_cm3=10.84 m_tot_mub_per_cell=0.01 vol_a3_per_fu=69.4 sg="F-43m (216)" pbc="T T T"
Ho 1.8945 -1.9863 0.6646
Nb 5.6834 -5.9590 1.9937
Pt 0.0000 0.0000 0.0000

Stability comparison, relative energies in meV/atom: entry one 818; entry two 0

Entry one
3
Lattice="0.0000 3.3530 3.3530 3.3530 0.0000 3.3530 3.3530 3.3530 0.0000" Properties=species:S:1:pos:R:3 comment="HoNbZn | OQMD via LeMat-Bulk | PBE-GGA | optimized geometry" rho_g_cm3=7.12 m_tot_mub_per_cell=2.67 vol_a3_per_fu=75.4 sg="F-43m (216)" pbc="T T T"
Ho 0.0000 0.0000 0.0000
Nb 1.6765 1.6765 1.6765
Zn 5.0296 5.0296 5.0296

Entry two
3
Lattice="0.0000 3.2394 3.2394 3.2394 0.0000 3.2394 3.2394 3.2394 0.0000" Properties=species:S:1:pos:R:3 comment="HoNbZn | OQMD via LeMat-Bulk | PBE-GGA | optimized geometry" rho_g_cm3=7.89 m_tot_mub_per_cell=0.41 vol_a3_per_fu=68.0 sg="F-43m (216)" pbc="T T T"
Ho 1.6197 1.6197 1.6197
Nb 4.8591 4.8591 4.8591
Zn 0.0000 0.0000 0.0000

Stability comparison, relative energies in meV/atom: entry one 631; entry two 0

Entry one
6
Lattice="0.0000 4.7054 4.7054 4.7054 0.0000 4.7054 4.7054 4.7054 0.0000" Properties=species:S:1:pos:R:3 comment="Nd2Ho | OQMD via LeMat-Bulk | PBE-GGA | optimized geometry" rho_g_cm3=7.23 m_tot_mub_per_cell=0.06 vol_a3_per_fu=104.2 sg="Fd-3m (227)" pbc="T T T"
Ho 0.0000 0.0000 0.0000
Ho 2.3527 2.3527 2.3527
Nd 3.5291 3.5291 5.8818
Nd 3.5291 5.8818 3.5291
Nd 5.8818 3.5291 3.5291
Nd 5.8818 5.8818 5.8818

Entry two
6
Lattice="0.0000 6.4726 6.4726 6.4726 0.0000 6.4726 6.4726 6.4726 0.0000" Properties=species:S:1:pos:R:3 comment="Nd2Ho | OQMD via LeMat-Bulk | PBE-GGA | optimized geometry" rho_g_cm3=2.78 m_tot_mub_per_cell=0.02 vol_a3_per_fu=271.2 sg="Fd-3m (227)" pbc="T T T"
Ho 0.0000 0.0000 0.0000
Ho 3.2363 3.2363 3.2363
Nd 1.6181 1.6181 1.6181
Nd 1.6181 4.8544 4.8544
Nd 4.8544 1.6181 4.8544
Nd 4.8544 4.8544 1.6181

Stability comparison, relative energies in meV/atom: entry one 0; entry two 1966

Entry one
6
Lattice="0.0000 3.6096 3.6096 3.6096 0.0000 3.6096 3.6096 3.6096 0.0000" Properties=species:S:1:pos:R:3 comment="NdHoNi4 | OQMD via LeMat-Bulk | PBE-GGA | optimized geometry" rho_g_cm3=9.60 m_tot_mub_per_cell=0.00 vol_a3_per_fu=94.1 sg="F-43m (216)" pbc="T T T"
Ho 1.8048 1.8048 1.8048
Nd 3.6096 3.6096 3.6096
Ni 4.5062 4.5062 6.3226
Ni 4.5062 6.3226 4.5062
Ni 6.3226 4.5062 4.5062
Ni 6.3226 6.3226 6.3226

Entry two
12
Lattice="0.1887 3.5251 -4.0729 -4.5721 -2.6489 1.0628 -2.2378 5.8539 4.9629" Properties=species:S:1:pos:R:3 comment="NdHoNi4 | OQMD via LeMat-Bulk | PBE-GGA | optimized geometry" rho_g_cm3=8.98 m_tot_mub_per_cell=0.01 vol_a3_per_fu=100.6 sg="P6/mmm (191)" pbc="T T T"
Ho -0.6048 2.4961 -3.2169
Ho -3.7786 -1.6199 0.2069
Nd -2.1917 0.4381 -1.5050
Nd -3.3106 3.3650 0.9764
Ni -0.6101 1.5961 1.3531
Ni -0.5158 3.3586 -0.6833
Ni -2.8962 0.2716 1.8846
Ni -1.7237 5.4231 -0.7355
Ni -4.8976 1.3070 2.6884
Ni -1.5334 6.0204 1.5733
Ni -3.9137 2.9334 4.1412
Ni -1.6277 4.2578 3.6098

Stability comparison, relative energies in meV/atom: entry one 0; entry two 354

Entry one
9
Lattice="8.6122 0.0000 0.0000 -4.3061 7.4584 0.0000 0.0000 0.0000 3.9035" Properties=species:S:1:pos:R:3 comment="Nd3Ho3NiTe2 | OQMD via LeMat-Bulk | PBE-GGA | optimized geometry" rho_g_cm3=8.22 m_tot_mub_per_cell=0.00 vol_a3_per_fu=250.7 sg="P-62m (189)" pbc="T T T"
Ho 3.5108 0.0000 0.0000
Ho -1.7554 3.0405 0.0000
Ho 2.5507 4.4179 0.0000
Nd 6.5269 0.0000 1.9518
Nd 1.0426 1.8059 1.9518
Nd -3.2634 5.6524 1.9518
Ni 0.0000 0.0000 0.0000
Te 4.3061 2.4861 1.9518
Te 0.0000 4.9722 1.9518

Entry two
9
Lattice="8.5155 0.0000 0.0000 -4.2578 7.3746 0.0000 0.0000 0.0000 4.0124" Properties=species:S:1:pos:R:3 comment="Nd3Ho3NiTe2 | OQMD via LeMat-Bulk | PBE-GGA | optimized geometry" rho_g_cm3=8.18 m_tot_mub_per_cell=0.08 vol_a3_per_fu=252.0 sg="P-62m (189)" pbc="T T T"
Ho 6.5238 0.0000 2.0062
Ho 0.9959 1.7249 2.0062
Ho -3.2619 5.6497 2.0062
Nd 3.4583 0.0000 0.0000
Nd -1.7292 2.9950 0.0000
Nd 2.5286 4.3797 0.0000
Ni 0.0000 0.0000 0.0000
Te 4.2578 2.4582 2.0062
Te 0.0000 4.9164 2.0062

Stability comparison, relative energies in meV/atom: entry one 100; entry two 0